No. 1
A relaxed structure of TlZn2FeRe. Source: the Alexandria database, functional GGA-PBEsol.

Structure (CIF):
```
data_TlZn2FeRe
_chemical_formula_sum 'Tl1 Zn2 Fe1 Re1'
_symmetry_space_group_name_H-M 'P 4/m m m'
_symmetry_Int_Tables_number 123
_symmetry_space_group_name_Hall '-P 4 2'
_cell_length_a 4.7435
_cell_length_b 4.7435
_cell_length_c 5.1170
_cell_angle_alpha 90.00
_cell_angle_beta 90.00
_cell_angle_gamma 90.00
loop_
_atom_site_label
_atom_site_type_symbol
_atom_site_fract_x
_atom_site_fract_y
_atom_site_fract_z
Tl1 Tl 0.0000 0.0000 0.0000
Zn1 Zn 0.0000 0.5000 0.5000
Fe1 Fe 0.5000 0.5000 0.0000
Re1 Re 0.0000 0.0000 0.5000
```

Values from the calculation:
Calculated volume ... 23.0 A^3/atom
Fermi-level density of states ... 9.1 states/eV per cell
E_form ... 1.53 eV/atom

=====

No. 2
A relaxed structure of LiAg2Cl. Source: the Alexandria database, functional GGA-PBEsol.

Structure (CIF):
```
data_LiAg2Cl
_chemical_formula_sum 'Li1 Ag2 Cl1'
_symmetry_space_group_name_H-M 'P 4/m m m'
_symmetry_Int_Tables_number 123
_symmetry_space_group_name_Hall '-P 4 2'
_cell_length_a 3.7004
_cell_length_b 3.7004
_cell_length_c 5.6569
_cell_angle_alpha 90.00
_cell_angle_beta 90.00
_cell_angle_gamma 90.00
loop_
_atom_site_label
_atom_site_type_symbol
_atom_site_fract_x
_atom_site_fract_y
_atom_site_fract_z
Li1 Li 0.0000 0.0000 0.0000
Ag1 Ag 0.0000 0.5000 0.5000
Cl1 Cl 0.5000 0.5000 0.0000
```

Values from the calculation:
Calculated volume ... 19.4 A^3/atom
ΔE_f (raw) ... -0.414 eV per atom
Fermi-level density of states ... 0.4 states/eV per cell

=====

No. 3
A relaxed structure of NaZnB3H12. Source: the Alexandria database, functional GGA-PBEsol.

Structure (CIF):
```
data_NaZnB3H12
_chemical_formula_sum 'Na4 Zn4 B12 H48'
_symmetry_space_group_name_H-M 'P 1 21/c 1'
_symmetry_Int_Tables_number 14
_symmetry_space_group_name_Hall '-P 2ybc'
_cell_length_a 8.4219
_cell_length_b 4.1535
_cell_length_c 17.6535
_cell_angle_alpha 90.00
_cell_angle_beta 96.59
_cell_angle_gamma 90.00
loop_
_atom_site_label
_atom_site_type_symbol
_atom_site_fract_x
_atom_site_fract_y
_atom_site_fract_z
Na1 Na 0.1815 0.1136 0.3640
Zn1 Zn 0.2800 0.5555 0.6109
B1 B 0.0962 0.1363 0.1795
B2 B 0.2239 0.5452 0.4873
B3 B 0.4967 0.2208 0.3498
H1 H 0.0482 0.6408 0.3364
H2 H 0.1067 0.1119 0.9640
H3 H 0.1344 0.6546 0.6829
H4 H 0.1444 0.2311 0.7388
H5 H 0.1514 0.2080 0.6274
H6 H 0.1728 0.7360 0.0278
H7 H 0.2966 0.6782 0.4405
H8 H 0.3248 0.1419 0.0215
H9 H 0.3760 0.5727 0.1565
H10 H 0.4159 0.1717 0.2895
H11 H 0.4454 0.1306 0.4079
H12 H 0.4872 0.0236 0.1483
```

Values from the calculation:
Calculated volume ... 9.0 A^3/atom
Fermi-level density of states ... 0.0 states/eV per cell
Uncorrected energy ... -3.86 eV/atom

=====

No. 4
A relaxed structure of ReSbSeBr2. Source: the Alexandria database, functional GGA-PBEsol.

Structure (CIF):
```
data_ReSbSeBr2
_chemical_formula_sum 'Re1 Sb1 Se1 Br2'
_symmetry_space_group_name_H-M 'P 4/m m m'
_symmetry_Int_Tables_number 123
_symmetry_space_group_name_Hall '-P 4 2'
_cell_length_a 5.0221
_cell_length_b 5.0221
_cell_length_c 4.7474
_cell_angle_alpha 90.00
_cell_angle_beta 90.00
_cell_angle_gamma 90.00
loop_
_atom_site_label
_atom_site_type_symbol
_atom_site_fract_x
_atom_site_fract_y
_atom_site_fract_z
Re1 Re 0.0000 0.0000 0.0000
Sb1 Sb 0.5000 0.5000 0.5000
Se1 Se 0.0000 0.0000 0.5000
Br1 Br 0.0000 0.5000 0.0000
```

Values from the calculation:
Calculated volume ... 23.9 A^3/atom
ΔE_f (raw) ... 0.588 eV per atom
Fermi-level density of states ... 6.4 states/eV per cell